(1)
DFT (PBE) results for La6NdHg3 after structural relaxation.

```
20
Lattice="-0.044 -0.870 5.522 7.216 -6.323 -0.939 4.774 11.849 1.905" Properties=species:S:1:pos:R:3 pbc="T T T"
La 4.387 -3.448 0.906
Hg 4.156 3.296 4.797
Hg 6.113 -3.432 3.753
La 3.409 5.475 2.305
La 7.258 -1.849 1.181
La 9.500 5.456 5.180
La 7.336 2.583 4.710
Nd 6.996 5.210 2.292
Hg 4.972 10.030 5.865
La 4.688 6.505 5.307
Hg 7.790 1.360 1.691
Hg 5.833 8.088 2.736
La 1.627 1.261 4.457
Hg 6.974 -5.374 0.623
Nd 4.950 -0.555 4.197
La 8.537 -0.819 4.184
La 4.610 2.073 1.778
La 10.319 3.395 2.032
La 7.559 8.104 5.582
La 2.445 -0.800 1.308
```

The calculation puts the total energy at -3.7433 eV/atom. The calculation puts the density of states at the Fermi level at 11.93 states/eV/f.u. Its formation enthalpy at 0 K is -0.219 eV/atom.

---

(2)
DFT (PBE) results for TbPm2Er after structural relaxation.

```
8
Lattice="-1.826 4.312 -1.877 -0.412 -3.015 -6.525 -6.695 -2.206 1.442" Properties=species:S:1:pos:R:3 pbc="T T T"
Er -3.451 -1.857 -0.910
Tb -7.003 -4.468 -3.452
Er -5.482 0.947 -6.050
Pm -2.591 1.603 -0.577
Tb -1.930 3.558 -3.509
Pm -6.342 -2.513 -6.383
Pm -6.136 -1.005 -3.121
Pm -2.797 0.095 -3.840
```

The calculation puts the total energy at -4.6585 eV/atom. The calculation puts the density of states at the Fermi level at 5.32 states/eV/f.u. For the energy above the most stable polymorph in this dataset, the calculation gives 1.6 meV/atom. Its formation enthalpy at 0 K is 0.015 eV/atom.

---

(3)
DFT (PBE) results for Si2GePd2 after structural relaxation.

```
10
Lattice="7.513 0.000 0.000 0.000 7.513 0.000 0.000 0.000 2.787" Properties=species:S:1:pos:R:3 pbc="T T T"
Pd 1.027 2.730 0.000
Pd 6.487 4.783 0.000
Ge 0.000 0.000 0.000
Si 1.190 4.946 1.393
Pd 4.783 1.027 0.000
Ge 3.757 3.757 0.000
Pd 2.730 6.487 0.000
Si 4.946 6.323 1.393
Si 6.323 2.567 1.393
Si 2.567 1.190 1.393
```

The calculation puts the total energy at -5.3167 eV/atom. The value obtained for the raw formation energy is -0.15 eV/atom. The calculation puts the density of states at the Fermi level at 1.76 states/eV/f.u. For the energy above the most stable polymorph in this dataset, the calculation gives 6.0 meV/atom.

---

(4)
DFT (PBE) results for Pr2MgAg3Sn4 after structural relaxation.

```
10
Lattice="4.530 0.000 0.000 0.000 4.530 0.000 0.000 0.000 12.186" Properties=species:S:1:pos:R:3 pbc="T T T"
Ag 2.265 0.000 10.479
Sn 2.265 2.265 0.000
Sn 2.265 0.000 7.827
Sn 0.000 2.265 4.359
Sn 0.000 0.000 0.000
Ag 0.000 0.000 6.093
Mg 2.265 2.265 6.093
Pr 0.000 2.265 9.150
Ag 0.000 2.265 1.707
Pr 2.265 0.000 3.036
```

The calculation puts the total energy at -3.9721 eV/atom. The calculation puts the density of states at the Fermi level at 2.82 states/eV/f.u. Its formation enthalpy at 0 K is -0.400 eV/atom.

---

(5)
DFT (PBE) results for LiBiAu6 after structural relaxation.

```
8
Lattice="-0.566 1.511 3.843 1.420 -3.571 1.613 8.171 3.222 -0.064" Properties=species:S:1:pos:R:3 pbc="T T T"
Au 5.655 3.097 1.875
Au 2.943 -0.905 0.789
Au 0.427 -1.030 2.728
Au 6.648 0.556 0.760
Au 4.513 0.581 2.696
Li 4.086 1.611 -0.032
Bi 0.000 0.000 0.000
Au 1.950 1.636 1.904
```

The calculation puts the total energy at -3.3101 eV/atom. The calculation puts the density of states at the Fermi level at 2.86 states/eV/f.u. For the energy above the most stable polymorph in this dataset, the calculation gives 0.0 meV/atom. Its formation enthalpy at 0 K is -0.128 eV/atom.

---

(6)
DFT (PBE) results for CsPmBi2 after structural relaxation.

```
4
Lattice="-1.785 1.380 3.987 -2.745 -1.566 -3.319 0.888 -9.008 3.515" Properties=species:S:1:pos:R:3 pbc="T T T"
Pm -1.372 -0.783 -1.659
Bi -0.882 -1.528 1.450
Bi -2.761 -7.667 2.733
Cs -0.929 -5.287 0.098
```

The calculation puts the total energy at -3.7137 eV/atom. The calculation puts the density of states at the Fermi level at 3.96 states/eV/f.u. For the energy above the most stable polymorph in this dataset, the calculation gives 179.0 meV/atom. Its formation enthalpy at 0 K is -0.372 eV/atom.